# 1
Density functional theory data (PBE-GGA) for an optimized crystal structure of NbAgAu4.

Cell lengths 2.922, 2.922, 12.597 Å; angles 90.00, 90.00, 90.00 degrees
Space group P4/mmm (No. 123)
Asymmetric unit:
Nb  0.000  0.000  0.000 (multiplicity 1)
Ag  0.500  0.500  0.500 (multiplicity 1)
Au  0.000  0.000  0.334 (multiplicity 2)
Au  0.500  0.500  0.162 (multiplicity 2)

DFT formation energy, eV per formula unit: -0.5

***

# 2
Density functional theory data (PBE-GGA) for an optimized crystal structure of AcZn2Ga.

Cell lengths 4.762, 10.927, 6.891 Å; angles 90.00, 90.00, 90.00 degrees
Space group Cmcm (No. 63)
Asymmetric unit:
Ac  0.000  0.102  0.250 (multiplicity 4)
Zn  0.000  0.385  0.063 (multiplicity 8)
Ga  0.000  0.199  0.750 (multiplicity 4)

DFT formation energy, eV per formula unit: -1.5

***

# 3
Density functional theory data (PBE-GGA) for an optimized crystal structure of TaCuNi2H.

Cell lengths 3.711, 3.711, 3.956 Å; angles 90.00, 90.00, 90.00 degrees
Space group P4/mmm (No. 123)
Asymmetric unit:
Ta  0.000  0.000  0.000 (multiplicity 1)
Cu  0.500  0.500  0.000 (multiplicity 1)
Ni  0.000  0.500  0.500 (multiplicity 2)
H  0.000  0.000  0.500 (multiplicity 1)

E, eV per atom: -6.1141

***

# 4
Density functional theory data (PBE-GGA) for an optimized crystal structure of Ce4Ge2Sb.

Cell lengths 9.092, 9.092, 9.181 Å; angles 90.00, 90.00, 90.00 degrees
Space group I-42d (No. 122)
Asymmetric unit:
Ce  0.075  0.668  0.436 (multiplicity 16)
Ge  0.133  0.750  0.125 (multiplicity 8)
Sb  0.000  0.000  0.500 (multiplicity 4)

E, eV per atom: -6.0618

***

# 5
Density functional theory data (PBE-GGA) for an optimized crystal structure of PRhO3.

Cell lengths 3.853, 3.853, 3.853 Å; angles 90.00, 90.00, 90.00 degrees
Space group Pm-3m (No. 221)
Asymmetric unit:
P  0.000  0.000  0.000 (multiplicity 1)
Rh  0.500  0.500  0.500 (multiplicity 1)
O  0.000  0.500  0.500 (multiplicity 3)

E, eV per atom: -5.3091

***

# 6
Density functional theory data (PBE-GGA) for an optimized crystal structure of Cr2FeRe.

Cell lengths 2.572, 2.572, 7.475 Å; angles 90.00, 90.00, 90.00 degrees
Space group P4mm (No. 99)
Asymmetric unit:
Cr  0.000  0.000  0.000 (multiplicity 1)
Cr  0.500  0.500  0.251 (multiplicity 1)
Fe  0.000  0.000  0.470 (multiplicity 1)
Re  0.500  0.500  0.720 (multiplicity 1)

Energy relative to the lowest polymorph listed for this composition, meV per atom: 127
DFT formation energy, eV per formula unit: 0.8

***

# 7
Density functional theory data (PBE-GGA) for an optimized crystal structure of Na3Pu2PdS6.

Cell lengths 6.717, 11.615, 7.042 Å; angles 90.00, 108.48, 90.00 degrees
Space group C2/m (No. 12)
Asymmetric unit:
Na  0.000  0.000  0.000 (multiplicity 2)
Na  0.000  0.337  0.000 (multiplicity 4)
Pu  0.000  0.167  0.500 (multiplicity 4)
Pd  0.000  0.500  0.500 (multiplicity 2)
S  0.240  0.000  0.723 (multiplicity 4)
S  0.242  0.333  0.724 (multiplicity 8)

E, eV per atom: -6.4126

***

# 8
Density functional theory data (PBE-GGA) for an optimized crystal structure of Sc6Cu5Au.

Cell lengths 4.656, 13.975, 6.545 Å; angles 90.00, 90.00, 90.00 degrees
Space group Cmmm (No. 65)
Asymmetric unit:
Sc  0.000  0.000  0.244 (multiplicity 4)
Sc  0.000  0.331  0.246 (multiplicity 8)
Cu  0.000  0.164  0.000 (multiplicity 4)
Cu  0.000  0.169  0.500 (multiplicity 4)
Cu  0.000  0.500  0.000 (multiplicity 2)
Au  0.000  0.500  0.500 (multiplicity 2)

DFT formation energy, eV per formula unit: -4.4

***

# 9
Density functional theory data (PBE-GGA) for an optimized crystal structure of NdThPdPt.

Cell lengths 7.238, 7.238, 7.238 Å; angles 90.00, 90.00, 90.00 degrees
Space group F-43m (No. 216)
Asymmetric unit:
Nd  0.000  0.000  0.000 (multiplicity 4)
Th  0.000  0.000  0.500 (multiplicity 4)
Pd  0.250  0.250  0.750 (multiplicity 4)
Pt  0.250  0.250  0.250 (multiplicity 4)

Energy relative to the lowest polymorph listed for this composition, meV per atom: 150
DFT formation energy, eV per formula unit: -3.4

***

# 10
Density functional theory data (PBE-GGA) for an optimized crystal structure of AlVFeCu2.

Cell lengths 4.473, 4.473, 4.002 Å; angles 90.00, 90.00, 90.00 degrees
Space group P4/mmm (No. 123)
Asymmetric unit:
Al  0.000  0.000  0.000 (multiplicity 1)
V  0.500  0.500  0.000 (multiplicity 1)
Fe  0.500  0.500  0.500 (multiplicity 1)
Cu  0.000  0.500  0.500 (multiplicity 2)

DFT formation energy, eV per formula unit: 4.0

***

# 11
Density functional theory data (PBE-GGA) for an optimized crystal structure of NbCd2RuO6.

Cell lengths 5.652, 5.652, 4.003 Å; angles 90.00, 90.00, 90.00 degrees
Space group P4mm (No. 99)
Asymmetric unit:
Nb  0.000  0.000  0.000 (multiplicity 1)
Cd  0.000  0.500  0.431 (multiplicity 2)
Ru  0.500  0.500  0.019 (multiplicity 1)
O  0.000  0.000  0.517 (multiplicity 1)
O  0.250  0.250  0.031 (multiplicity 4)
O  0.500  0.500  0.520 (multiplicity 1)

E, eV per atom: -6.3894

***

# 12
Density functional theory data (PBE-GGA) for an optimized crystal structure of NdErGeIr.

Cell lengths 4.094, 4.175, 10.886 Å; angles 90.00, 90.00, 90.00 degrees
Space group Amm2 (No. 38)
Asymmetric unit:
Nd  0.000  0.000  0.000 (multiplicity 2)
Er  0.500  0.000  0.281 (multiplicity 2)
Ge  0.500  0.000  0.578 (multiplicity 2)
Ir  0.000  0.000  0.727 (multiplicity 2)

DFT formation energy, eV per formula unit: -3.2

***

# 13
Density functional theory data (PBE-GGA) for an optimized crystal structure of BeB2Mo.

Cell lengths 5.590, 5.590, 4.778 Å; angles 90.00, 90.00, 90.00 degrees
Space group I-42d (No. 122)
Asymmetric unit:
Be  0.000  0.000  0.000 (multiplicity 4)
B  0.207  0.250  0.125 (multiplicity 8)
Mo  0.000  0.000  0.500 (multiplicity 4)

DFT formation energy, eV per formula unit: 1.5

***

# 14
Density functional theory data (PBE-GGA) for an optimized crystal structure of RbLa2Sc.

Cell lengths 3.6834, 3.6834, 39.9990 Å; angles 90.00, 90.00, 120.00 degrees
Space group R-3m (No. 166, hexagonal axes)
Asymmetric unit:
Rb  0.0000  0.0000  0.0000 (multiplicity 3)
La  0.0000  0.0000  0.0997 (multiplicity 6)
Sc  0.0000  0.0000  0.5000 (multiplicity 3)

Energy relative to the lowest polymorph listed for this composition, meV per atom: 0
DFT formation energy, eV per formula unit: 1.1

***

# 15
Density functional theory data (PBE-GGA) for an optimized crystal structure of Tb4CeNdS8.

Cell lengths 8.1557, 8.1557, 20.1818 Å; angles 90.00, 90.00, 120.00 degrees
Space group R3m (No. 160, hexagonal axes)
Asymmetric unit:
Tb  0.0000  0.0000  0.0000 (multiplicity 3)
Tb  0.0002  0.5001  0.8743 (multiplicity 9)
Ce  0.0000  0.0000  0.7481 (multiplicity 3)
Nd  0.0000  0.0000  0.3739 (multiplicity 3)
S  0.0000  0.0000  0.1321 (multiplicity 3)
S  0.0000  0.0000  0.6123 (multiplicity 3)
S  0.0244  0.5122  0.1305 (multiplicity 9)
S  0.1733  0.3467  0.9524 (multiplicity 9)

E, eV per atom: -6.3581

***

# 16
Density functional theory data (PBE-GGA) for an optimized crystal structure of Ce3ScTl2.

Cell lengths 6.958, 4.510, 10.254 Å; angles 90.00, 99.13, 90.00 degrees
Space group P2_1/m (No. 11)
Asymmetric unit:
Ce  0.073  0.250  0.244 (multiplicity 2)
Ce  0.123  0.250  0.897 (multiplicity 2)
Ce  0.402  0.750  0.430 (multiplicity 2)
Sc  0.415  0.750  0.781 (multiplicity 2)
Tl  0.143  0.250  0.585 (multiplicity 2)
Tl  0.345  0.750  0.097 (multiplicity 2)

DFT formation energy, eV per formula unit: -0.9

***

# 17
Density functional theory data (PBE-GGA) for an optimized crystal structure of SmSnIr.

Cell lengths 7.4548, 7.4548, 4.1367 Å; angles 90.00, 90.00, 120.00 degrees
Space group P-62m (No. 189)
Asymmetric unit:
Sm  0.0000  0.5891  0.0000 (multiplicity 3)
Sn  0.0000  0.2525  0.5000 (multiplicity 3)
Ir  0.0000  0.0000  0.0000 (multiplicity 1)
Ir  0.3333  0.6667  0.5000 (multiplicity 2)

DFT formation energy, eV per formula unit: -2.4

***

# 18
Density functional theory data (PBE-GGA) for an optimized crystal structure of NpSeF.

Cell lengths 3.875, 10.462, 5.586 Å; angles 90.00, 90.00, 90.00 degrees
Space group Cmcm (No. 63)
Asymmetric unit:
Np  0.000  0.100  0.250 (multiplicity 4)
Se  0.000  0.195  0.750 (multiplicity 4)
F  0.000  0.500  0.000 (multiplicity 4)

E, eV per atom: -8.1172

***

# 19
Density functional theory data (PBE-GGA) for an optimized crystal structure of La6GeSb2Se3.

Cell lengths 19.359, 4.462, 8.888 Å; angles 90.00, 102.62, 90.00 degrees
Space group C2/m (No. 12)
Asymmetric unit:
La  0.002  0.000  0.261 (multiplicity 4)
La  0.162  0.500  0.574 (multiplicity 4)
La  0.163  0.500  0.089 (multiplicity 4)
Ge  0.000  0.500  0.500 (multiplicity 2)
Sb  0.167  0.000  0.834 (multiplicity 4)
Se  0.000  0.500  0.000 (multiplicity 2)
Se  0.168  0.000  0.334 (multiplicity 4)

E, eV per atom: -5.9938

***

# 20
Density functional theory data (PBE-GGA) for an optimized crystal structure of Ba2SnPb.

Cell lengths 9.568, 9.568, 7.241 Å; angles 90.00, 90.00, 90.00 degrees
Space group I-42d (No. 122)
Asymmetric unit:
Ba  0.245  0.750  0.125 (multiplicity 8)
Sn  0.000  0.000  0.000 (multiplicity 4)
Pb  0.000  0.000  0.500 (multiplicity 4)

Energy relative to the lowest polymorph listed for this composition, meV per atom: 430
DFT formation energy, eV per formula unit: -0.9